No. 1
DFT (GGA-PBE) results for AsIrRu2 after structural relaxation.

## Properties
Magnetization = 0.0000 μB per atom
SG = No. 38
Uncorrected energy = -7.96 eV/atom

Lattice parameters (Å, degrees): 3.9435 5.3934 5.3934 30.45 90.00 90.00
Sites, in units of the cell vectors:
As1 0.0000 0.0000 0.0000
Ir1 0.5000 0.1468 0.1468
Ru1 0.0000 0.7676 0.7676
Ru2 0.5000 0.4015 0.4015



No. 2
DFT (GGA-PBE) results for As2IrRu after structural relaxation.

## Properties
Magnetization = 0.0000 μB per atom
SG = No. 12
Uncorrected energy = -6.84 eV/atom
Energy above the most stable polymorph in this dataset = 0.38 eV per formula unit

Lattice parameters (Å, degrees): 4.2623 4.2623 5.1920 101.79 101.79 41.36
Sites, in units of the cell vectors:
As1 0.2469 0.2469 0.2434
As2 0.7531 0.7531 0.7566
Ir1 0.0000 0.0000 0.5000
Ru1 0.5000 0.5000 0.0000



No. 3
DFT (GGA-PBE) results for As2IrRu after structural relaxation.

## Properties
Magnetization = 0.0000 μB per atom
SG = No. 10
Uncorrected energy = -6.71 eV/atom
Energy above the most stable polymorph in this dataset = 0.87 eV per formula unit

Lattice parameters (Å, degrees): 3.0325 3.2792 6.0678 90.00 90.24 90.00
Sites, in units of the cell vectors:
As1 0.0011 0.0000 0.2453
As2 0.9989 0.0000 0.7547
Ir1 0.5000 0.5000 0.5000
Ru1 0.5000 0.5000 0.0000



No. 4
DFT (GGA-PBE) results for AsIrRu2 after structural relaxation.

## Properties
Magnetization = 0.0000 μB per atom
SG = No. 25
Uncorrected energy = -7.82 eV/atom

Lattice parameters (Å, degrees): 2.8136 3.7462 5.5558 90.00 90.00 90.00
Sites, in units of the cell vectors:
As1 0.0000 0.0000 0.0000
Ir1 0.5000 0.5000 0.2781
Ru1 0.0000 0.0000 0.5205
Ru2 0.5000 0.5000 0.7583



No. 5
DFT (GGA-PBE) results for AsIrRu2 after structural relaxation.

## Properties
Magnetization = 0.0000 μB per atom
SG = No. 160
Uncorrected energy = -7.85 eV/atom

Lattice parameters (Å, degrees): 8.5079 8.5079 8.5079 19.18 19.18 19.18
Sites, in units of the cell vectors:
As1 0.0000 0.0000 0.0000
Ir1 0.7484 0.7484 0.7484
Ru1 0.2541 0.2541 0.2541
Ru2 0.5030 0.5030 0.5030



No. 6
DFT (GGA-PBE) results for As2IrRu after structural relaxation.

## Properties
Magnetization = 0.0000 μB per atom
SG = No. 25
Uncorrected energy = -6.93 eV/atom
Energy above the most stable polymorph in this dataset = 0.00 eV per formula unit

Lattice parameters (Å, degrees): 3.0917 4.6737 4.2482 90.00 90.00 90.00
Sites, in units of the cell vectors:
As1 0.0000 0.0000 0.0000
As2 0.5000 0.5000 0.2756
Ir1 0.0000 0.5000 0.7700
Ru1 0.5000 0.0000 0.4964



No. 7
DFT (GGA-PBE) results for AsIrRu2 after structural relaxation.

## Properties
Magnetization = 0.0000 μB per atom
SG = No. 119
Uncorrected energy = -7.85 eV/atom

Lattice parameters (Å, degrees): 4.6652 4.6652 4.6652 130.49 130.49 72.63
Sites, in units of the cell vectors:
As1 0.0000 0.0000 0.0000
Ir1 0.2500 0.7500 0.5000
Ru1 0.5000 0.5000 0.0000
Ru2 0.7500 0.2500 0.5000



No. 8
DFT (GGA-PBE) results for AsIrRu2 after structural relaxation.

## Properties
Magnetization = 0.0000 μB per atom
SG = No. 12
Uncorrected energy = -7.88 eV/atom

Lattice parameters (Å, degrees): 4.7584 4.7584 4.7682 107.07 107.07 34.35
Sites, in units of the cell vectors:
As1 0.0000 0.0000 0.0000
Ir1 0.5000 0.5000 0.5000
Ru1 0.2675 0.2675 0.7464
Ru2 0.7325 0.7325 0.2536